# 1
The following is a PBE calculation of crystalline DyErGaNi at its relaxed geometry, from Alexandria.

The energy relative to the lowest polymorph listed for this composition comes out at 0 meV/atom.

The structure belongs to space group Amm2 (No. 38); the cell edges are 4.3401, 3.7046 and 10.7672 Å and the angles 90.00°, 90.00° and 90.00°. Symmetry generates all atoms from Dy at (0.0000, 0.0000, 0.0000), Er at (0.5000, 0.0000, 0.7161), Ga at (0.5000, 0.0000, 0.4289) and Ni at (0.0000, 0.0000, 0.2905).

# 2
The following is a PBE calculation of crystalline Li3CdRh at its relaxed geometry, from Alexandria.

The energy relative to the lowest polymorph listed for this composition comes out at 0 meV/atom.

The structure belongs to space group C2/c (No. 15); the cell edges are 8.3678, 10.6717 and 4.6450 Å and the angles 90.00°, 123.63° and 90.00°. Symmetry generates all atoms from Li at (0.1932, 0.0568, 0.3222), Li at (0.2500, 0.2500, 0.0000), Cd at (0.0000, 0.2892, 0.2500) and Rh at (0.0000, 0.4409, 0.7500).

# 3
The following is a PBE calculation of crystalline TlCuOs2 at its relaxed geometry, from Alexandria.

The energy relative to the lowest polymorph listed for this composition comes out at 307 meV/atom.

The structure belongs to space group P2/m (No. 10); the cell edges are 2.8311, 4.6074 and 4.9873 Å and the angles 90.00°, 90.49° and 90.00°. Symmetry generates all atoms from Tl at (0.0000, 0.0000, 0.0000), Cu at (0.5000, 0.0000, 0.5000) and Os at (0.2407, 0.5000, 0.7154).

# 4
The following is a PBE calculation of crystalline NbGa5Rh6 at its relaxed geometry, from Alexandria.

The structure belongs to space group Immm (No. 71); the cell edges are 4.2007, 6.6170 and 12.4739 Å and the angles 90.00°, 90.00° and 90.00°. Symmetry generates all atoms from Nb at (0.0000, 0.0000, 0.0000), Ga at (0.0000, 0.0000, 0.3314), Ga at (0.0000, 0.5000, 0.0000), Ga at (0.0000, 0.5000, 0.3378), Rh at (0.0000, 0.2365, 0.5000) and Rh at (0.0000, 0.2511, 0.1686).

no.,total magnetic moment (μB/atom),formation energy (eV/f.u.)
1,0.000,-2.03
2,0.000,-0.63
3,0.000,3.24
4,0.000,-7.63